No. 1
A plane-wave DFT calculation with PBE-GGA was carried out for a relaxed structure of Tl3SiAu.

```
5
Lattice="5.338 0.000 0.000 0.000 5.338 0.000 0.000 0.000 5.338" Properties=species:S:1:pos:R:3 pbc="T T T"
Tl 0.000 2.669 0.000
Tl 0.000 0.000 2.669
Tl 2.669 0.000 0.000
Au 2.669 2.669 2.669
Si 0.000 0.000 0.000
```

## Properties
As for the formation energy without anion corrections: 45.1 kJ per mole of atoms. The value obtained for the magnetic moment is 0.0000 μB per atom. The calculation puts the energy above the most stable polymorph in this dataset at 0 meV per atom. As for the total energy: -2.69 eV per atom.

No. 2
A plane-wave DFT calculation with PBE-GGA was carried out for a relaxed structure of CuSbRu2.

```
4
Lattice="-0.933 -2.060 -2.232 2.703 -1.628 0.374 -2.604 -3.360 4.190" Properties=species:S:1:pos:R:3 pbc="T T T"
Cu -1.068 -4.364 2.213
Ru -2.584 -3.334 4.158
Ru -1.322 -1.705 2.126
Sb 0.234 -2.684 0.118
```

## Properties
As for the formation energy without anion corrections: 20.7 kJ per mole of atoms. The value obtained for the magnetic moment is 0.0000 μB per atom. As for the total energy: -6.48 eV per atom.

No. 3
A plane-wave DFT calculation with PBE-GGA was carried out for a relaxed structure of LaHI3.

```
20
Lattice="8.353 0.000 -0.779 0.000 8.471 0.000 -3.178 0.000 14.341" Properties=species:S:1:pos:R:3 pbc="T T T"
La -0.264 2.118 1.196
La -1.853 6.352 8.366
La 7.028 2.118 5.196
La 5.439 6.352 12.367
H -0.422 5.942 3.635
H 7.185 5.942 2.756
H -2.011 2.529 10.806
H 5.596 2.529 9.927
I 4.761 0.035 5.994
I 3.172 8.436 13.164
I -0.393 6.364 11.200
I 1.979 4.286 0.512
I 1.196 2.106 4.029
I 0.413 8.436 7.569
I 4.784 4.286 5.880
I 3.978 6.364 9.533
I 3.195 4.185 13.050
I 5.567 2.106 2.363
I 2.002 0.035 0.398
I 0.390 4.185 7.682
```

## Properties
The value obtained for the magnetic moment is 0.0000 μB per atom. The calculation puts the energy above the most stable polymorph in this dataset at 0 meV per atom. As for the total energy: -3.79 eV per atom.

No. 4
A plane-wave DFT calculation with PBE-GGA was carried out for a relaxed structure of BaCuBi.

```
6
Lattice="-0.129 -0.013 5.868 -2.657 -3.221 -1.838 4.173 -7.723 -3.817" Properties=species:S:1:pos:R:3 pbc="T T T"
Ba 1.285 -8.534 -4.106
Ba -0.802 -4.672 -2.196
Cu -0.656 -3.365 0.961
Cu -1.074 -5.996 0.514
Bi -0.622 -1.075 2.558
Bi 1.547 -5.063 0.754
```

## Properties
The formation energy from the elements comes out at -0.4497 eV/atom. The value obtained for the magnetic moment is 0.0000 μB per atom. As for the total energy: -3.75 eV per atom.

No. 5
A plane-wave DFT calculation with PBE-GGA was carried out for a relaxed structure of NdNiCl.

```
6
Lattice="4.055 -0.017 -0.031 -2.011 3.521 0.031 -1.940 -1.216 10.735" Properties=species:S:1:pos:R:3 pbc="T T T"
Nd 2.063 1.144 3.436
Nd -1.960 1.143 7.300
Ni 0.044 -0.026 5.172
Ni 0.059 2.313 5.563
Cl 0.076 -0.045 9.026
Cl 0.027 2.332 1.710
```

## Properties
As for the formation energy without anion corrections: -116.7 kJ per mole of atoms. The value obtained for the magnetic moment is 0.0000 μB per atom. As for the total energy: -5.34 eV per atom.

No. 6
A plane-wave DFT calculation with PBE-GGA was carried out for a relaxed structure of YAgSnAu.

```
4
Lattice="4.982 0.000 0.000 2.491 4.315 0.000 2.491 1.438 4.068" Properties=species:S:1:pos:R:3 pbc="T T T"
Y 7.474 4.315 3.051
Au 4.982 2.877 2.034
Sn 2.491 1.438 1.017
Ag 0.000 0.000 0.000
```

## Properties
The formation energy from the elements comes out at -0.5299 eV/atom. The value obtained for the magnetic moment is 0.0000 μB per atom. As for the total energy: -4.68 eV per atom.

No. 7
A plane-wave DFT calculation with PBE-GGA was carried out for a relaxed structure of DyPaBi2O6.

```
10
Lattice="6.289 0.000 -0.382 0.000 5.917 0.000 -2.854 -2.959 4.421" Properties=species:S:1:pos:R:3 pbc="T T T"
Dy 0.000 2.959 0.000
Pa 3.145 0.000 -0.191
Bi 0.028 0.000 2.205
Bi 3.407 2.959 1.833
O 0.882 2.959 2.133
O -1.311 -1.499 3.625
O 4.746 1.460 0.414
O -1.311 1.499 3.625
O 4.746 4.457 0.414
O 2.554 0.000 1.906
```

## Properties
As for the formation energy without anion corrections: -223.2 kJ per mole of atoms. The value obtained for the magnetic moment is 0.0000 μB per atom. As for the total energy: -7.47 eV per atom.

No. 8
A plane-wave DFT calculation with PBE-GGA was carried out for a relaxed structure of LiZr2Ir.

```
4
Lattice="-1.605 2.954 -0.109 -2.787 -1.554 -1.064 -1.883 -0.799 6.099" Properties=species:S:1:pos:R:3 pbc="T T T"
Ir -2.667 0.500 0.938
Li -3.609 0.101 3.988
Zr -0.006 -0.002 0.018
Zr -0.936 -0.397 3.032
```

## Properties
The formation energy from the elements comes out at -0.2988 eV/atom. The value obtained for the magnetic moment is 0.0000 μB per atom. The calculation puts the energy above the most stable polymorph in this dataset at 169 meV per atom. As for the total energy: -7.27 eV per atom.

No. 9
A plane-wave DFT calculation with PBE-GGA was carried out for a relaxed structure of Sr2Li12Rh5.

```
19
Lattice="6.969 0.127 0.724 0.666 6.938 0.724 0.137 0.127 7.005" Properties=species:S:1:pos:R:3 pbc="T T T"
Sr 5.283 4.889 5.747
Sr 2.488 2.303 2.707
Li 2.346 5.123 0.724
Li 5.148 0.127 2.398
Li 0.278 1.942 5.331
Li 5.289 1.942 0.724
Li 1.958 0.127 5.331
Li 0.525 5.123 2.398
Li 2.675 2.476 6.581
Li 2.958 6.123 3.218
Li 6.333 2.476 3.218
Li 4.814 1.069 5.236
Li 5.097 4.717 1.872
Li 1.438 4.717 5.236
Rh 0.069 0.064 3.502
Rh 0.333 3.469 0.362
Rh 3.484 0.064 0.362
Rh 7.026 6.502 7.642
Rh 0.746 0.690 0.811
```

## Properties
The formation energy from the elements comes out at -0.1254 eV/atom. The value obtained for the magnetic moment is 0.0009 μB per atom. As for the total energy: -3.45 eV per atom.

No. 10
A plane-wave DFT calculation with PBE-GGA was carried out for a relaxed structure of Nd5SmIn5.

```
11
Lattice="-1.816 -2.129 5.243 8.848 2.525 0.722 -1.904 6.155 1.840" Properties=species:S:1:pos:R:3 pbc="T T T"
Nd 0.649 2.473 4.597
Nd 0.005 5.607 5.647
Nd -0.952 3.077 0.920
Nd 5.122 0.944 2.157
Nd 4.478 4.078 3.207
Sm 0.000 0.000 0.000
In 3.933 1.528 5.351
In 3.026 4.463 6.229
In -0.908 -1.065 2.621
In 2.101 2.088 1.576
In 1.194 5.023 2.453
```

## Properties
The formation energy from the elements comes out at -0.2265 eV/atom. The value obtained for the magnetic moment is 0.0002 μB per atom. As for the total energy: -4.07 eV per atom.

No. 11
A plane-wave DFT calculation with PBE-GGA was carried out for a relaxed structure of CeErPa2P4.

```
8
Lattice="-0.577 3.066 -2.491 -2.333 -4.363 -4.829 -5.287 2.170 3.897" Properties=species:S:1:pos:R:3 pbc="T T T"
Ce 0.000 0.000 0.000
Er -1.455 -0.648 -3.660
Pa -2.932 2.618 0.703
Pa -3.810 -1.096 -0.466
P -2.236 0.972 -1.485
P -5.962 -0.098 -1.938
P -4.534 0.520 1.691
P -3.087 -2.712 -2.623
```

## Properties
The formation energy from the elements comes out at -1.4281 eV/atom. The value obtained for the magnetic moment is 0.0010 μB per atom. As for the total energy: -7.82 eV per atom.

No. 12
A plane-wave DFT calculation with PBE-GGA was carried out for a relaxed structure of MnCdHg4.

```
6
Lattice="-3.331 -4.920 0.248 -5.851 0.417 0.975 -3.837 -1.217 -4.377" Properties=species:S:1:pos:R:3 pbc="T T T"
Mn -9.765 -4.290 -2.365
Cd 0.000 0.000 0.000
Hg -6.547 -4.603 -1.059
Hg -6.800 -2.754 -3.368
Hg -7.806 -1.938 -0.697
Hg -4.885 -2.146 -1.183
```

## Properties
The formation energy from the elements comes out at 0.4345 eV/atom. The value obtained for the magnetic moment is 0.7751 μB per atom. As for the total energy: -1.45 eV per atom.

No. 13
A plane-wave DFT calculation with PBE-GGA was carried out for a relaxed structure of LaCoMoP2.

```
5
Lattice="-0.187 -3.200 -2.394 3.251 -1.516 1.772 -4.730 -0.205 3.986" Properties=species:S:1:pos:R:3 pbc="T T T"
La 0.000 0.000 0.000
Co -1.692 -2.882 0.640
Mo 0.027 -2.039 2.724
P 0.625 -3.085 0.731
P -2.291 -1.836 2.633
```

## Properties
The formation energy from the elements comes out at -0.8572 eV/atom. The value obtained for the magnetic moment is 0.0000 μB per atom. As for the total energy: -7.59 eV per atom.

No. 14
A plane-wave DFT calculation with PBE-GGA was carried out for a relaxed structure of PtAu2Cl.

```
8
Lattice="-4.611 0.134 -6.242 6.137 -1.327 -4.562 0.372 -3.204 -5.169" Properties=species:S:1:pos:R:3 pbc="T T T"
Au -2.110 -0.880 -5.884
Au 3.441 -1.616 -4.804
Au 0.734 -2.825 -7.841
Au 1.733 -3.472 -13.418
Pt 0.000 0.000 0.000
Pt -1.738 -1.833 -8.407
Cl 0.763 -0.596 -5.402
Cl 3.637 -2.564 -7.567
```

## Properties
As for the formation energy without anion corrections: 40.2 kJ per mole of atoms. The value obtained for the magnetic moment is 0.0000 μB per atom. The calculation puts the energy above the most stable polymorph in this dataset at 258 meV per atom. As for the total energy: -3.19 eV per atom.

No. 15
A plane-wave DFT calculation with PBE-GGA was carried out for a relaxed structure of Ti3AlSn.

```
5
Lattice="4.973 0.000 0.000 0.000 4.973 0.000 0.000 0.000 4.973" Properties=species:S:1:pos:R:3 pbc="T T T"
Al 2.486 2.486 2.486
Sn 0.000 0.000 0.000
Ti 0.000 2.486 0.000
Ti 0.000 0.000 2.486
Ti 2.486 0.000 0.000
```

## Properties
The formation energy from the elements comes out at 0.9276 eV/atom. The value obtained for the magnetic moment is 0.2003 μB per atom. The calculation puts the energy above the most stable polymorph in this dataset at 933 meV per atom. As for the total energy: -5.36 eV per atom.

No. 16
A plane-wave DFT calculation with PBE-GGA was carried out for a relaxed structure of LaYAgBi.

```
4
Lattice="5.435 0.000 0.000 2.717 4.707 0.000 2.717 1.569 4.437" Properties=species:S:1:pos:R:3 pbc="T T T"
Y 8.152 4.707 3.328
Bi 5.435 3.138 2.219
Ag 0.000 0.000 0.000
La 2.717 1.569 1.109
```

## Properties
The formation energy from the elements comes out at -0.4920 eV/atom. The value obtained for the magnetic moment is 0.0001 μB per atom. As for the total energy: -5.02 eV per atom.

No. 17
A plane-wave DFT calculation with PBE-GGA was carried out for a relaxed structure of Ac2ErRe2N6.

```
11
Lattice="5.903 0.000 0.000 2.951 5.112 0.000 2.951 1.704 6.119" Properties=species:S:1:pos:R:3 pbc="T T T"
Ac 8.854 5.112 3.895
Ac 2.951 1.704 2.224
Er 0.000 0.000 0.000
Re 5.903 3.408 4.891
Re 5.903 3.408 1.228
N 7.418 4.283 1.703
N 4.388 4.283 1.703
N 5.903 1.659 1.703
N 5.903 5.157 4.416
N 7.418 2.533 4.416
N 4.388 2.533 4.416
```

## Properties
As for the formation energy without anion corrections: -76.2 kJ per mole of atoms. The value obtained for the magnetic moment is 0.0000 μB per atom. As for the total energy: -8.76 eV per atom.

No. 18
A plane-wave DFT calculation with PBE-GGA was carried out for a relaxed structure of CuTc2Os.

```
4
Lattice="-3.653 3.637 0.121 -3.887 -0.481 3.353 5.083 0.454 -0.732" Properties=species:S:1:pos:R:3 pbc="T T T"
Cu -3.758 1.573 1.731
Os -1.360 0.806 2.212
Tc -0.020 0.008 0.009
Tc -1.090 2.801 0.525
```

## Properties
The formation energy from the elements comes out at 0.3334 eV/atom. The value obtained for the magnetic moment is 0.0000 μB per atom. The calculation puts the energy above the most stable polymorph in this dataset at 176 meV per atom. As for the total energy: -8.68 eV per atom.

No. 19
A plane-wave DFT calculation with PBE-GGA was carried out for a relaxed structure of YReSbI2.

```
5
Lattice="-0.110 1.441 5.270 -1.139 -5.161 1.387 5.031 -1.008 0.380" Properties=species:S:1:pos:R:3 pbc="T T T"
I -0.569 -2.581 0.694
I -0.055 0.720 2.635
Re 0.000 0.000 0.000
Y 1.891 -2.364 3.519
Sb 2.515 -0.504 0.190
```

## Properties
As for the formation energy without anion corrections: 55.6 kJ per mole of atoms. The value obtained for the magnetic moment is 0.0078 μB per atom. The calculation puts the energy above the most stable polymorph in this dataset at 0 meV per atom. As for the total energy: -4.65 eV per atom.

No. 20
A plane-wave DFT calculation with PBE-GGA was carried out for a relaxed structure of BaTl14Pb.

```
16
Lattice="-1.275 -3.196 -6.436 6.016 -1.636 3.793 -5.490 -8.213 5.166" Properties=species:S:1:pos:R:3 pbc="T T T"
Ba 2.661 -5.873 5.519
Tl 5.415 -1.765 2.948
Tl 1.820 -2.534 -2.094
Tl -0.382 -4.990 3.689
Tl 2.420 -0.987 1.003
Tl 2.106 -7.526 2.302
Tl 4.721 -3.332 -0.280
Tl -4.191 -7.770 1.510
Tl -1.320 -3.477 -1.191
Tl -1.907 -10.098 0.236
Tl 0.964 -5.805 -2.464
Tl -1.040 -8.309 3.333
Tl 1.525 -4.472 0.920
Tl -4.821 -9.317 -1.607
Tl -1.945 -5.015 -4.313
Pb -1.031 -6.663 0.340
```

## Properties
The formation energy from the elements comes out at -0.0692 eV/atom. The value obtained for the magnetic moment is 0.0000 μB per atom. As for the total energy: -2.49 eV per atom.